Computed, not measured: a relaxed Cs2NpCu2S6 crystal at the PBE level of DFT.

The calculation puts the volume at 317.3 Å³/cell. The calculation puts the formation energy (no corrections) at -71.83 kJ/mol of atoms. The space group is No. 166.

Cell: 8.107 8.107 8.107 Å, 53.26 53.26 53.26°
Sites, in units of the cell vectors:
Cs1 0.227 0.227 0.227
Cs2 0.773 0.773 0.773
Np1 0.000 0.000 0.000
Cu1 0.406 0.406 0.406
Cu2 0.594 0.594 0.594
S1 0.234 0.234 0.753
S2 0.234 0.753 0.234
S3 0.247 0.766 0.766
S4 0.753 0.234 0.234
S5 0.766 0.247 0.766
S6 0.766 0.766 0.247